1.
Material: Ho4Tm2Sc
Method: DFT, PBE
State: relaxed

abc: 5.405 11.950 13.210
angles: 90.00 90.00 90.00
Space group Cmce (No. 64)
Symmetry-distinct sites (fractional):
Ho (0.000, 0.141, 0.181) x8
Ho (0.000, 0.243, 0.425) x8
Tm (0.000, 0.071, 0.656) x8
Sc (0.000, 0.000, 0.000) x4

Values from the calculation:
Calculated formation energy: 195 meV per atom
D(E_F): 10.9 states/eV/f.u.
Offset from the most stable computed form: 50 meV/atom

2.
Material: SrPr2Ho
Method: DFT, PBE
State: relaxed

abc: 3.6838 3.6838 39.4853
angles: 90.00 90.00 120.00
Space group R-3m (No. 166, hexagonal axes)
Symmetry-distinct sites (fractional):
Sr (0.0000, 0.0000, 0.0000) x3
Pr (0.0000, 0.0000, 0.0937) x6
Ho (0.0000, 0.0000, 0.5000) x3

Values from the calculation:
Calculated formation energy: 176 meV per atom
D(E_F): 5.6 states/eV/f.u.
Offset from the most stable computed form: 87 meV/atom

3.
Material: CdSeNO2
Method: DFT, PBE
State: relaxed

abc: 4.078 4.078 4.294
angles: 90.00 90.00 90.00
Space group P4/mmm (No. 123)
Symmetry-distinct sites (fractional):
Cd (0.000, 0.000, 0.000) x1
Se (0.500, 0.500, 0.500) x1
N (0.000, 0.000, 0.500) x1
O (0.000, 0.500, 0.000) x2

Values from the calculation:
D(E_F): 4.6 states/eV/f.u.
Formation energy without anion corrections: 1.294 eV per atom

4.
Material: EuS2
Method: DFT, PBE
State: relaxed

abc: 8.390 4.028 7.931
angles: 90.00 90.45 90.00
Space group P2_1/c (No. 14)
Symmetry-distinct sites (fractional):
Eu (0.206, 0.240, 0.372) x4
S (0.138, 0.744, 0.125) x4
S (0.499, 0.669, 0.402) x4

Values from the calculation:
D(E_F): 4.6 states/eV/f.u.
Formation energy without anion corrections: -1.396 eV per atom

5.
Material: CuCl2
Method: DFT, PBE
State: relaxed

abc: 3.313 13.900 6.764
angles: 90.00 90.00 90.00
Space group Cmcm (No. 63)
Symmetry-distinct sites (fractional):
Cu (0.000, 0.185, 0.250) x4
Cl (0.000, 0.201, 0.750) x4
Cl (0.000, 0.426, 0.750) x4

Values from the calculation:
D(E_F): 0.9 states/eV/f.u.
Formation energy without anion corrections: -0.497 eV per atom

6.
Material: Pm2PrSm5Y
Method: DFT, PBE
State: relaxed

abc: 8.895 8.895 15.688
angles: 90.00 90.00 90.00
Space group I4/mcm (No. 140)
Symmetry-distinct sites (fractional):
Pm (0.116, 0.384, 0.000) x8
Pr (0.000, 0.000, 0.250) x4
Sm (0.000, 0.000, 0.000) x4
Sm (0.210, 0.290, 0.363) x16
Y (0.000, 0.500, 0.250) x4

Values from the calculation:
Calculated formation energy: 268 meV per atom
D(E_F): 12.8 states/eV/f.u.

7.
Material: LaPm2Nd4Sm
Method: DFT, PBE
State: relaxed

abc: 6.353 3.685 12.230
angles: 90.00 100.31 90.00
Space group P2/m (No. 10)
Symmetry-distinct sites (fractional):
La (0.000, 0.000, 0.000) x1
Pm (0.000, 0.500, 0.500) x1
Pm (0.500, 0.000, 0.500) x1
Nd (0.249, 0.000, 0.749) x2
Nd (0.252, 0.500, 0.252) x2
Sm (0.500, 0.500, 0.000) x1

Values from the calculation:
Calculated formation energy: 16 meV per atom
D(E_F): 13.9 states/eV/f.u.

8.
Material: KLi2Zn
Method: DFT, PBE
State: relaxed

abc: 4.7200 4.7200 18.6298
angles: 90.00 90.00 120.00
Space group R-3m (No. 166, hexagonal axes)
Symmetry-distinct sites (fractional):
K (0.0000, 0.0000, 0.0000) x3
Li (0.0000, 0.0000, 0.1924) x6
Zn (0.0000, 0.0000, 0.5000) x3

Values from the calculation:
Calculated formation energy: 73 meV per atom
D(E_F): 3.5 states/eV/f.u.